1.
This record from Alexandria via LeMat-Bulk describes an optimized crystal structure of SiBi2SbAs. The functional is PBE.

Energy relative to the elements, uncorrected ... 0.645 eV per atom

a = 5.6632 Å, b = 5.6632 Å, c = 4.7059 Å
α = 90.00°, β = 90.00°, γ = 90.00°
Space group P4/mmm (No. 123)
One atom of each set of equivalent atoms:
Si1 0.0000 0.0000 0.0000 x1
Bi1 0.0000 0.5000 0.5000 x2
Sb1 0.5000 0.5000 0.0000 x1
As1 0.0000 0.0000 0.5000 x1



2.
This record from Alexandria via LeMat-Bulk describes an optimized crystal structure of SiBPN4. The functional is PBE.

Energy relative to the elements, uncorrected ... -0.631 eV per atom
Energy above the most stable polymorph in this dataset ... 198.1 meV per atom

a = 4.0078 Å, b = 4.0078 Å, c = 7.6790 Å
α = 90.00°, β = 90.00°, γ = 90.00°
Space group I-4 (No. 82)
One atom of each set of equivalent atoms:
Si1 0.0000 0.0000 0.0000 x2
B1 0.0000 0.0000 0.5000 x2
P1 0.0000 0.5000 0.7500 x2
N1 0.2110 0.7448 0.6178 x8



Question: What is the energy relative to the elements, uncorrected in the second record?
Answer: -0.631 eV per atom



Question: Among the records above, which one has the lowest energy relative to the elements, uncorrected?
Answer: SiBPN4



Question: Which formula does entry 2 have?
Answer: SiBPN4